1.
{
  "formula": "TeAsC",
  "functional": "GGA-PBE",
  "state": "relaxed",
  "lattice_angstrom": [[5.7785, 0.0000, 0.0000], [1.4004, 5.7418, 0.0000], [2.1483, 1.2378, 5.9962]],
  "species": ["Te", "Te", "As", "As", "C", "C"],
  "fractional_positions": [[0.0751, 0.2142, 0.0049], [0.9249, 0.7858, 0.9951], [0.1338, 0.8066, 0.5622], [0.8662, 0.1934, 0.4378], [0.4042, 0.9585, 0.5218], [0.5958, 0.0415, 0.4782]],
  "e_above_lowest_polymorph_mev_per_atom": 31,
  "space_group": "P-1 (2)",
  "raw_formation_energy_ev_per_atom": 0.563
}

2.
{
  "formula": "Li4Mg7Sc",
  "functional": "GGA-PBE",
  "state": "relaxed",
  "lattice_angstrom": [[4.9652, 0.0000, 0.0000], [-2.4826, 4.3000, 0.0000], [0.0000, 0.0000, 12.1145]],
  "species": ["Li", "Li", "Li", "Li", "Mg", "Mg", "Mg", "Mg", "Mg", "Mg", "Mg", "Sc"],
  "fractional_positions": [[0.3333, 0.6667, 0.1565], [0.3333, 0.6667, 0.4044], [0.6667, 0.3333, 0.5956], [0.6667, 0.3333, 0.8435], [0.0000, 0.0000, 0.2502], [0.0000, 0.0000, 0.5000], [0.0000, 0.0000, 0.7498], [0.3333, 0.6667, 0.6488], [0.3333, 0.6667, 0.9031], [0.6667, 0.3333, 0.0969], [0.6667, 0.3333, 0.3512], [0.0000, 0.0000, 0.0000]],
  "formation_energy_ev_per_atom": -0.016,
  "space_group": "P-3m1 (164)"
}

3.
{
  "formula": "Sm3Dy2PuN6",
  "functional": "GGA-PBE",
  "state": "relaxed",
  "lattice_angstrom": [[3.0479, -5.2744, 0.0000], [3.0479, 5.2744, 0.0000], [-2.0348, 0.0000, 5.7640]],
  "species": ["Sm", "Sm", "Sm", "Dy", "Dy", "Pu", "N", "N", "N", "N", "N", "N"],
  "fractional_positions": [[0.0000, 0.0000, 0.0000], [0.3329, 0.6671, 0.0000], [0.6671, 0.3329, 0.0000], [0.1664, 0.8336, 0.5000], [0.8336, 0.1664, 0.5000], [0.5000, 0.5000, 0.5000], [0.0976, 0.4212, 0.2634], [0.2545, 0.2545, 0.7370], [0.4212, 0.0976, 0.2634], [0.5788, 0.9024, 0.7366], [0.7455, 0.7455, 0.2630], [0.9024, 0.5788, 0.7366]],
  "space_group": "C2/m (12)",
  "raw_formation_energy_ev_per_atom": -1.515
}

4.
{
  "formula": "Sr2Cd2Pd",
  "functional": "GGA-PBE",
  "state": "relaxed",
  "lattice_angstrom": [[6.3543, 0.0000, 0.0000], [0.0000, 6.3543, 0.0000], [0.0000, 0.0000, 8.0820]],
  "species": ["Sr", "Sr", "Sr", "Sr", "Cd", "Cd", "Cd", "Cd", "Pd", "Pd"],
  "fractional_positions": [[0.0000, 0.5000, 0.2500], [0.0000, 0.5000, 0.7500], [0.5000, 0.0000, 0.2500], [0.5000, 0.0000, 0.7500], [0.0000, 0.0000, 0.1675], [0.0000, 0.0000, 0.8325], [0.5000, 0.5000, 0.3325], [0.5000, 0.5000, 0.6675], [0.0000, 0.0000, 0.5000], [0.5000, 0.5000, 0.0000]],
  "e_above_lowest_polymorph_mev_per_atom": 323,
  "formation_energy_ev_per_atom": -0.138,
  "space_group": "I4/mmm (139)"
}

5.
{
  "formula": "MgNbH",
  "functional": "GGA-PBE",
  "state": "relaxed",
  "lattice_angstrom": [[3.0211, 0.0000, 0.0000], [-1.5105, 2.6163, 0.0000], [0.0000, 0.0000, 10.5809]],
  "species": ["Mg", "Mg", "Nb", "Nb", "H", "H"],
  "fractional_positions": [[0.0000, 0.0000, 0.1428], [0.0000, 0.0000, 0.8572], [0.6667, 0.3333, 0.3689], [0.6667, 0.3333, 0.6311], [0.3333, 0.6667, 0.0000], [0.3333, 0.6667, 0.5000]],
  "e_above_lowest_polymorph_mev_per_atom": 301,
  "space_group": "P-6m2 (187)"
}

no.,spin magnetization (μB per formula unit),D(E_F) (states/eV per atom)
1,0.0,0.02
2,0.0,0.59
3,4.4,0.52
4,0.0,0.65
5,0.0,0.63